# 1
Here is a geometry-optimized Dy2CuRh2 structure from Alexandria. Energies are from PBE.

Summary:
Spin magnetization = 0.0 μB/cell
ΔE_f = -3.3 eV per formula unit
Uncorrected energy = -6.267 eV/atom

Cell lengths 9.9831, 5.3440, 7.6155 Å; angles 90.00, 106.60, 90.00 degrees
Closest atoms and distances in Å follow each position.
Space group C2/c (No. 15)
Inequivalent atoms, fractional coordinates:
1 Dy 0.1476 0.1435 0.1513 x8  6 Rh 2.85-3.19, 2 Cu 3.10-3.14
2 Cu 0.0000 0.3230 0.7500 x4  4 Rh 2.56-2.61
3 Rh 0.1291 0.3628 0.5049 x8  2 Cu 2.56-2.61, 1 Rh 2.72, 1 Dy 2.85

=====

# 2
Here is a geometry-optimized MnCoCu2 structure from Alexandria. Energies are from PBE.

Summary:
Spin magnetization = 0.0 μB/cell
ΔE_f = 3.5 eV per formula unit
Uncorrected energy = -5.252 eV/atom

Cell lengths 6.5116, 6.5116, 4.6670 Å; angles 90.00, 90.00, 90.00 degrees
Closest atoms and distances in Å follow each position.
Space group I-42d (No. 122)
Inequivalent atoms, fractional coordinates:
1 Mn 0.0000 0.0000 0.0000 x4  2 Co 2.33, 4 Cu 2.39
2 Co 0.0000 0.0000 0.5000 x4  2 Mn 2.33, 4 Cu 2.36
3 Cu 0.2471 0.2500 0.6250 x8  2 Cu 2.33, 2 Co 2.36, 2 Mn 2.39

=====

# 3
Here is a geometry-optimized Mo5W structure from Alexandria. Energies are from PBE.

Summary:
Spin magnetization = 0.0 μB/cell
ΔE_f = 1.8 eV per formula unit
Uncorrected energy = -10.877 eV/atom
Distance to the lowest polymorph of the same formula = 327 meV/atom

Cell lengths 2.6419, 2.6419, 13.9653 Å; angles 90.00, 90.00, 90.00 degrees
Closest atoms and distances in Å follow each position.
Space group P4/mmm (No. 123)
Inequivalent atoms, fractional coordinates:
1 Mo 0.0000 0.0000 0.0000 x1  4 Mo 2.64
2 Mo 0.0000 0.0000 0.3336 x2  4 Mo 2.64
3 Mo 0.5000 0.5000 0.1666 x2  4 Mo 2.64
4 W 0.5000 0.5000 0.5000 x1  4 W 2.64

=====

# 4
Here is a geometry-optimized MnFe6 structure from Alexandria. Energies are from PBE.

Summary:
Spin magnetization = 29.0 μB/cell
ΔE_f = 2.1 eV per formula unit
Uncorrected energy = -8.262 eV/atom

Cell lengths 3.8663, 7.9678, 5.4503 Å; angles 90.00, 90.00, 90.00 degrees
Closest atoms and distances in Å follow each position.
Space group Pmmn (No. 59, origin choice 2)
Inequivalent atoms, fractional coordinates:
1 Mn 0.2500 0.2500 0.2189 x2  5 Fe 2.42-2.70
2 Fe 0.2500 0.0015 0.8816 x4  5 Fe 2.26-2.42
3 Fe 0.2500 0.2500 0.6630 x2  8 Fe 2.31-2.45, 1 Mn 2.42
4 Fe 0.2500 0.5795 0.4532 x4  6 Fe 2.37-2.47
5 Fe 0.2500 0.7500 0.0742 x2  6 Fe 2.26-2.47, 2 Mn 2.51

=====

# 5
Here is a geometry-optimized KLaCl2 structure from Alexandria. Energies are from PBE.

Summary:
Spin magnetization = 0.0 μB/cell
Uncorrected energy = -3.617 eV/atom
ΔE_f (raw) = -1.1870 eV per atom
Distance to the lowest polymorph of the same formula = 481 meV/atom

Cell lengths 7.3844, 7.3844, 7.3844 Å; angles 90.00, 90.00, 90.00 degrees
Closest atoms and distances in Å follow each position.
Space group Fm-3m (No. 225)
Inequivalent atoms, fractional coordinates:
1 K 0.0000 0.0000 0.0000 x4  8 Cl 3.20
2 La 0.0000 0.0000 0.5000 x4  8 Cl 3.20
3 Cl 0.2500 0.2500 0.2500 x8  4 La 3.20, 4 K 3.20

=====

# 6
Here is a geometry-optimized La2Pr9Er structure from Alexandria. Energies are from PBE.

Summary:
Spin magnetization = 0.0 μB/cell
ΔE_f = 0.2 eV per formula unit
Uncorrected energy = -4.772 eV/atom

Cell lengths 5.2357, 5.2357, 15.7143 Å; angles 90.00, 90.00, 90.00 degrees
Closest atoms and distances in Å follow each position.
Space group P4/mmm (No. 123)
Inequivalent atoms, fractional coordinates:
1 La 0.0000 0.0000 0.1681 x2  12 Pr 3.70-3.72
2 Pr 0.0000 0.5000 0.0000 x2  8 Pr 3.70-3.73, 4 La 3.72
3 Pr 0.0000 0.5000 0.3367 x4  8 Pr 3.67-3.72, 2 Er 3.67, 2 La 3.72
4 Pr 0.5000 0.5000 0.1689 x2  4 La 3.70, 8 Pr 3.72-3.73
5 Pr 0.5000 0.5000 0.5000 x1  8 Pr 3.67, 4 Er 3.70
6 Er 0.0000 0.0000 0.5000 x1  12 Pr 3.67-3.70

=====

| no. | density of states at the Fermi level (states/eV per cell) |
| --- | --- |
| 1 | 8.330 |
| 2 | 40.877 |
| 3 | 3.406 |
| 4 | 20.377 |
| 5 | 19.270 |
| 6 | 21.578 |